1.
A relaxed structure of LuPaCo, computed with PBE-GGA.

## Properties
formation energy from the elements = 0.143 eV per atom
E = -6.897 eV per atom
relative energy among the computed polymorphs = 0.864 eV/f.u.
magnetic moment = 0.00 μB per cell

a b c (Å): 4.6560 4.1744 4.1744
angles (deg): 120.00 90.00 90.00
Fractional coordinates of all 3 atoms:
Pa: 0.1667 0.3333 0.6667
Lu: 0.6666 0.6667 0.3333
Co: 0.1667 0.0000 0.0000

---

2.
A relaxed structure of Tb2Sm6Ho3Pu, computed with PBE-GGA.

## Properties
formation energy from the elements = 0.046 eV per atom
E = -5.424 eV per atom
magnetic moment = 6.59 μB per cell

a b c (Å): 6.2017 6.2017 11.7759
angles (deg): 95.05 95.05 120.02
Each line ends with the local moment (μB).
Fractional coordinates of all 12 atoms:
Sm: 0.5873 0.9172 0.7508  0.03
Sm: 0.0828 0.4127 0.2492  0.03
Sm: 0.4127 0.0828 0.2492  0.03
Tb: 0.3335 0.6665 0.0000  0.14
Sm: 0.9172 0.5873 0.7508  0.03
Sm: 0.7528 0.7528 0.2491  0.02
Sm: 0.2472 0.2472 0.7509  0.02
Ho: 0.8332 0.1668 0.5000  -0.04
Ho: 0.5000 0.5000 0.5000  -0.04
Pu: 0.0000 0.0000 0.0000  5.60
Tb: 0.6665 0.3335 0.0000  0.14
Ho: 0.1668 0.8332 0.5000  -0.04